# Mg2CoWO (PBE+U, optimized geometry)
data_Mg2CoWO
_chemical_formula_sum 'Mg2 Co1 W1 O1'
_symmetry_space_group_name_H-M 'P 4/m m m'
_symmetry_Int_Tables_number 123
_symmetry_space_group_name_Hall '-P 4 2'
_cell_length_a 5.339
_cell_length_b 5.339
_cell_length_c 3.465
_cell_angle_alpha 90.00
_cell_angle_beta 90.00
_cell_angle_gamma 90.00
loop_
_atom_site_label
_atom_site_fract_x
_atom_site_fract_y
_atom_site_fract_z
Mg1 0.000 0.500 0.000
Co1 0.000 0.000 0.000
W1 0.500 0.500 0.500
O1 0.000 0.000 0.500
# Spin magnetization (μB/f.u.): 6.35
# Final energy (eV per cell): -18.5
# DOS(E_F) (states/eV/f.u.): 1.85